Compound: NaNbCoN3
Source: Alexandria via LeMat-Bulk
Functional: PBE
Structure: optimized geometry

Results
E_form (uncorrected) = -0.33 eV per atom
volume = 14.4 A^3/atom

Cell and atoms, written as CIF:
```
data_NaNbCoN3
_cell_length_a 3.199
_cell_length_b 6.554
_cell_length_c 8.828
_cell_angle_alpha 111.46
_cell_angle_beta 90.00
_cell_angle_gamma 90.00
_symmetry_space_group_name_H-M 'P 1'
_symmetry_Int_Tables_number 1
_symmetry_space_group_name_Hall 'P 1'
loop_
_atom_site_label
_atom_site_type_symbol
_atom_site_fract_x
_atom_site_fract_y
_atom_site_fract_z
Na1 Na 0.250 0.214 0.190
Na2 Na 0.750 0.786 0.810
Nb1 Nb 0.250 0.688 0.125
Nb2 Nb 0.750 0.312 0.875
Co1 Co 0.250 0.053 0.605
Co2 Co 0.750 0.947 0.395
N1 N 0.750 0.904 0.168
N2 N 0.250 0.096 0.832
N3 N 0.250 0.817 0.411
N4 N 0.750 0.183 0.589
N5 N 0.750 0.443 0.113
N6 N 0.250 0.557 0.887
```

Compound: Hf2Zn2S
Source: Alexandria via LeMat-Bulk
Functional: PBE
Structure: optimized geometry

Results
E_form (uncorrected) = -0.54 eV per atom
volume = 19.1 A^3/atom

Cell and atoms, written as CIF:
```
data_Hf2Zn2S
_cell_length_a 6.631
_cell_length_b 6.631
_cell_length_c 4.342
_cell_angle_alpha 90.00
_cell_angle_beta 90.00
_cell_angle_gamma 90.00
_symmetry_space_group_name_H-M 'P 1'
_symmetry_Int_Tables_number 1
_symmetry_space_group_name_Hall 'P 1'
loop_
_atom_site_label
_atom_site_type_symbol
_atom_site_fract_x
_atom_site_fract_y
_atom_site_fract_z
Zn1 Zn 0.137 0.637 0.500
Zn2 Zn 0.637 0.863 0.500
Zn3 Zn 0.863 0.363 0.500
Zn4 Zn 0.363 0.137 0.500
Hf1 Hf 0.335 0.835 0.000
Hf2 Hf 0.835 0.665 0.000
Hf3 Hf 0.665 0.165 0.000
Hf4 Hf 0.165 0.335 0.000
S1 S 0.000 0.000 0.000
S2 S 0.500 0.500 0.000
```

Compound: Ho2InTe
Source: Alexandria via LeMat-Bulk
Functional: PBE
Structure: optimized geometry

Results
E_form (uncorrected) = -0.78 eV per atom
volume = 29.1 A^3/atom
offset from the most stable computed form = 41 kJ/mol of formula units

Cell and atoms, written as CIF:
```
data_Ho2InTe
_cell_length_a 6.209
_cell_length_b 6.200
_cell_length_c 12.281
_cell_angle_alpha 99.71
_cell_angle_beta 90.00
_cell_angle_gamma 90.00
_symmetry_space_group_name_H-M 'P 1'
_symmetry_Int_Tables_number 1
_symmetry_space_group_name_Hall 'P 1'
loop_
_atom_site_label
_atom_site_type_symbol
_atom_site_fract_x
_atom_site_fract_y
_atom_site_fract_z
Ho1 Ho 0.750 0.947 0.879
Ho2 Ho 0.250 0.053 0.121
Ho3 Ho 0.750 0.553 0.621
Ho4 Ho 0.250 0.447 0.379
Ho5 Ho 0.750 0.504 0.118
Ho6 Ho 0.250 0.496 0.882
Ho7 Ho 0.750 0.996 0.382
Ho8 Ho 0.250 0.004 0.618
In1 In 0.250 0.936 0.356
In2 In 0.750 0.064 0.644
In3 In 0.250 0.564 0.144
In4 In 0.750 0.436 0.856
Te1 Te 0.250 0.507 0.628
Te2 Te 0.750 0.493 0.372
Te3 Te 0.250 0.993 0.872
Te4 Te 0.750 0.007 0.128
```

Compound: TaTiNbI2
Source: Alexandria via LeMat-Bulk
Functional: PBE
Structure: optimized geometry

Results
E_form (uncorrected) = 1.53 eV per atom
volume = 29.1 A^3/atom

Cell and atoms, written as CIF:
```
data_TaTiNbI2
_cell_length_a 5.390
_cell_length_b 5.004
_cell_length_c 5.390
_cell_angle_alpha 90.00
_cell_angle_beta 90.00
_cell_angle_gamma 90.00
_symmetry_space_group_name_H-M 'P 1'
_symmetry_Int_Tables_number 1
_symmetry_space_group_name_Hall 'P 1'
loop_
_atom_site_label
_atom_site_type_symbol
_atom_site_fract_x
_atom_site_fract_y
_atom_site_fract_z
I1 I 0.000 0.000 0.500
I2 I 0.500 0.000 0.000
Nb1 Nb 0.000 0.500 0.000
Ti1 Ti 0.500 0.500 0.500
Ta1 Ta 0.000 0.000 0.000
```

Compound: Hg3BiAu2
Source: Alexandria via LeMat-Bulk
Functional: PBE
Structure: optimized geometry

Results
calculated formation energy = 0.045 eV per atom
volume = 24.8 A^3/atom

Cell and atoms, written as CIF:
```
data_Hg3BiAu2
_cell_length_a 3.527
_cell_length_b 11.645
_cell_length_c 8.522
_cell_angle_alpha 60.61
_cell_angle_beta 78.06
_cell_angle_gamma 81.29
_symmetry_space_group_name_H-M 'P 1'
_symmetry_Int_Tables_number 1
_symmetry_space_group_name_Hall 'P 1'
loop_
_atom_site_label
_atom_site_type_symbol
_atom_site_fract_x
_atom_site_fract_y
_atom_site_fract_z
Hg1 Hg 0.725 0.214 0.336
Hg2 Hg 0.945 0.642 0.469
Hg3 Hg 0.618 0.666 0.099
Hg4 Hg 0.275 0.786 0.664
Hg5 Hg 0.382 0.334 0.901
Hg6 Hg 0.055 0.358 0.531
Bi1 Bi 0.628 0.995 0.748
Bi2 Bi 0.372 0.005 0.252
Au1 Au 0.801 0.554 0.845
Au2 Au 0.199 0.446 0.155
Au3 Au 0.012 0.859 0.117
Au4 Au 0.988 0.141 0.883
```

Compound: Ba2CaFe
Source: Alexandria via LeMat-Bulk
Functional: PBE
Structure: optimized geometry

Results
calculated formation energy = 0.489 eV per atom
volume = 42.1 A^3/atom
offset from the most stable computed form = 25 kJ/mol of formula units

Cell and atoms, written as CIF:
```
data_Ba2CaFe
_cell_length_a 9.395
_cell_length_b 9.395
_cell_length_c 9.395
_cell_angle_alpha 156.68
_cell_angle_beta 149.09
_cell_angle_gamma 39.07
_symmetry_space_group_name_H-M 'P 1'
_symmetry_Int_Tables_number 1
_symmetry_space_group_name_Hall 'P 1'
loop_
_atom_site_label
_atom_site_type_symbol
_atom_site_fract_x
_atom_site_fract_y
_atom_site_fract_z
Ca1 Ca 0.750 0.250 0.500
Ba1 Ba 0.094 0.094 0.000
Ba2 Ba 0.406 0.406 0.000
Fe1 Fe 0.250 0.750 0.500
```

Compound: SrZr3Pt
Source: Alexandria via LeMat-Bulk
Functional: PBE
Structure: optimized geometry

Results
calculated formation energy = 0.119 eV per atom
volume = 29.0 A^3/atom
offset from the most stable computed form = 0 kJ/mol of formula units

Cell and atoms, written as CIF:
```
data_SrZr3Pt
_cell_length_a 5.254
_cell_length_b 5.254
_cell_length_c 5.254
_cell_angle_alpha 90.00
_cell_angle_beta 90.00
_cell_angle_gamma 90.00
_symmetry_space_group_name_H-M 'P 1'
_symmetry_Int_Tables_number 1
_symmetry_space_group_name_Hall 'P 1'
loop_
_atom_site_label
_atom_site_type_symbol
_atom_site_fract_x
_atom_site_fract_y
_atom_site_fract_z
Sr1 Sr 0.500 0.500 0.500
Zr1 Zr 0.000 0.500 0.000
Zr2 Zr 0.000 0.000 0.500
Zr3 Zr 0.500 0.000 0.000
Pt1 Pt 0.000 0.000 0.000
```

Compound: PtRhNO2
Source: Alexandria via LeMat-Bulk
Functional: PBE
Structure: optimized geometry

Results
E_form (uncorrected) = 0.97 eV per atom
volume = 12.7 A^3/atom

Cell and atoms, written as CIF:
```
data_PtRhNO2
_cell_length_a 4.141
_cell_length_b 4.141
_cell_length_c 3.703
_cell_angle_alpha 90.00
_cell_angle_beta 90.00
_cell_angle_gamma 90.00
_symmetry_space_group_name_H-M 'P 1'
_symmetry_Int_Tables_number 1
_symmetry_space_group_name_Hall 'P 1'
loop_
_atom_site_label
_atom_site_type_symbol
_atom_site_fract_x
_atom_site_fract_y
_atom_site_fract_z
Rh1 Rh 0.500 0.500 0.500
O1 O 0.000 0.500 0.000
O2 O 0.500 0.000 0.000
Pt1 Pt 0.000 0.000 0.000
N1 N 0.000 0.000 0.500
```

Compound: FeWAu2Br
Source: Alexandria via LeMat-Bulk
Functional: PBE
Structure: optimized geometry

Results
E_form (uncorrected) = 1.71 eV per atom
volume = 19.9 A^3/atom

Cell and atoms, written as CIF:
```
data_FeWAu2Br
_cell_length_a 4.858
_cell_length_b 4.215
_cell_length_c 4.858
_cell_angle_alpha 90.00
_cell_angle_beta 90.00
_cell_angle_gamma 90.00
_symmetry_space_group_name_H-M 'P 1'
_symmetry_Int_Tables_number 1
_symmetry_space_group_name_Hall 'P 1'
loop_
_atom_site_label
_atom_site_type_symbol
_atom_site_fract_x
_atom_site_fract_y
_atom_site_fract_z
Au1 Au 0.000 0.000 0.500
Au2 Au 0.500 0.000 0.000
Br1 Br 0.000 0.500 0.000
W1 W 0.500 0.500 0.500
Fe1 Fe 0.000 0.000 0.000
```

Compound: GaTe3Ru
Source: Alexandria via LeMat-Bulk
Functional: PBE
Structure: optimized geometry

Results
E_form (uncorrected) = 0.41 eV per atom
volume = 29.5 A^3/atom
offset from the most stable computed form = 0 kJ/mol of formula units

Cell and atoms, written as CIF:
```
data_GaTe3Ru
_cell_length_a 5.282
_cell_length_b 5.282
_cell_length_c 5.282
_cell_angle_alpha 90.00
_cell_angle_beta 90.00
_cell_angle_gamma 90.00
_symmetry_space_group_name_H-M 'P 1'
_symmetry_Int_Tables_number 1
_symmetry_space_group_name_Hall 'P 1'
loop_
_atom_site_label
_atom_site_type_symbol
_atom_site_fract_x
_atom_site_fract_y
_atom_site_fract_z
Ru1 Ru 0.000 0.000 0.000
Te1 Te 0.000 0.500 0.000
Te2 Te 0.000 0.000 0.500
Te3 Te 0.500 0.000 0.000
Ga1 Ga 0.500 0.500 0.500
```

Compound: Tb2NdHoTl4
Source: Alexandria via LeMat-Bulk
Functional: PBE
Structure: optimized geometry

Results
calculated formation energy = -0.351 eV per atom
volume = 28.1 A^3/atom

Cell and atoms, written as CIF:
```
data_Tb2NdHoTl4
_cell_length_a 5.410
_cell_length_b 5.410
_cell_length_c 9.397
_cell_angle_alpha 73.27
_cell_angle_beta 73.27
_cell_angle_gamma 60.00
_symmetry_space_group_name_H-M 'P 1'
_symmetry_Int_Tables_number 1
_symmetry_space_group_name_Hall 'P 1'
loop_
_atom_site_label
_atom_site_type_symbol
_atom_site_fract_x
_atom_site_fract_y
_atom_site_fract_z
Tb1 Tb 0.751 0.751 0.748
Tb2 Tb 0.249 0.249 0.252
Nd1 Nd 0.000 0.000 0.000
Ho1 Ho 0.500 0.500 0.500
Tl1 Tl 0.377 0.377 0.870
Tl2 Tl 0.874 0.874 0.379
Tl3 Tl 0.126 0.126 0.621
Tl4 Tl 0.623 0.623 0.130
```

Compound: LiLuHfRu
Source: Alexandria via LeMat-Bulk
Functional: PBE
Structure: optimized geometry

Results
calculated formation energy = -0.334 eV per atom
volume = 18.4 A^3/atom

Cell and atoms, written as CIF:
```
data_LiLuHfRu
_cell_length_a 4.702
_cell_length_b 4.702
_cell_length_c 4.702
_cell_angle_alpha 60.00
_cell_angle_beta 60.00
_cell_angle_gamma 60.00
_symmetry_space_group_name_H-M 'P 1'
_symmetry_Int_Tables_number 1
_symmetry_space_group_name_Hall 'P 1'
loop_
_atom_site_label
_atom_site_type_symbol
_atom_site_fract_x
_atom_site_fract_y
_atom_site_fract_z
Ru1 Ru 0.250 0.250 0.250
Lu1 Lu 0.500 0.500 0.500
Hf1 Hf 0.000 0.000 0.000
Li1 Li 0.750 0.750 0.750
```